A relaxed AlTeMo crystal. Source: Alexandria, functional GGA-PBE.

Space group = R-3m (166)
DOS(E_F) = 2.5 states/eV/f.u.
E_form (uncorrected) = 0.032 eV/atom
M_tot = 0.32 μB/f.u.
Offset from the most stable computed form = 0.000 eV/atom

Lattice parameters (Å, degrees): 4.388 4.388 9.007 75.90 75.90 60.00
Each line ends with the local moment (μB).
Atoms (fractional coordinates):
Mo: 0.547 0.547 0.360  0.27
Mo: 0.453 0.453 0.640  0.27
Te: 0.270 0.270 0.189  -0.01
Te: 0.730 0.730 0.811  -0.01
Al: 0.838 0.838 0.487  0.00
Al: 0.162 0.162 0.513  0.00